TaAlCd PBE-GGA relaxed; final energy = -5.379 eV per atom; N(E_F) = 0.88 states/eV per atom
1.0
2.9731 0.0000 0.0000
-1.4866 2.5748 0.0000
0.0000 0.0000 7.3252
Ta Cd Al
1 1 1
Direct
0.3333 0.6667 0.6817
0.6667 0.3333 0.3303
0.0000 0.0000 0.9880